# 1
Compound: Ga2Fe2Ni3
Source: Alexandria
Functional: PBE-GGA
Structure: relaxed

Properties
* theoretical density: 8.3 g/cm3
* DOS(E_F): 12.5 states/eV per cell
* calculated formation energy: -67 meV/atom

Cell: 3.7412 17.8650 2.5551 Å, 90.00 90.00 90.00°
With the nearest neighbours (Å) after each atom.
Space group Cmmm (No. 65)
Symmetry-distinct sites (fractional):
Ga1 0.0000 0.0746 0.0000 (multiplicity 4)  1 Fe 2.49, 3 Ga 2.56-2.66, 8 Ni 2.62-2.63
Fe1 0.0000 0.2139 0.0000 (multiplicity 4)  2 Fe 2.27, 1 Ga 2.49
Ni1 0.0000 0.3513 0.5000 (multiplicity 4)  6 Fe 2.55-2.77, 3 Ni 2.56-2.66, 4 Ga 2.62
Ni2 0.0000 0.5000 0.5000 (multiplicity 2)  4 Ni 2.56-2.66, 8 Ga 2.63

***

# 2
Compound: LiMgNiRu
Source: Alexandria
Functional: PBE-GGA
Structure: relaxed

Properties
* theoretical density: 5.8 g/cm3
* DOS(E_F): 17.1 states/eV per cell
* calculated formation energy: 87 meV/atom

Cell: 6.0171 6.0171 6.0171 Å, 90.00 90.00 90.00°
With the nearest neighbours (Å) after each atom.
Space group F-43m (No. 216)
Symmetry-distinct sites (fractional):
Li1 0.0000 0.0000 0.0000 (multiplicity 4)  4 Ru 2.61, 4 Mg 2.61
Mg1 0.2500 0.2500 0.7500 (multiplicity 4)  4 Li 2.61, 4 Ni 2.61
Ni1 0.0000 0.0000 0.5000 (multiplicity 4)  4 Mg 2.61, 4 Ru 2.61
Ru1 0.2500 0.2500 0.2500 (multiplicity 4)  4 Ni 2.61, 4 Li 2.61

***

# 3
Compound: Tl2Cu2AsS4
Source: Alexandria
Functional: PBE-GGA
Structure: relaxed

Properties
* theoretical density: 6.4 g/cm3
* DOS(E_F): 7.5 states/eV per cell
* final energy: -4.00 eV/atom

Cell: 14.2880 3.7762 7.5422 Å, 90.00 109.61 90.00°
With the nearest neighbours (Å) after each atom.
Space group C2/m (No. 12)
Symmetry-distinct sites (fractional):
Tl1 0.1321 0.0000 0.0527 (multiplicity 4)  7 S 3.27-3.34, 3 Cu 3.53-3.66, 1 Tl 3.59
Cu1 0.1893 0.5000 0.4919 (multiplicity 4)  4 S 2.31-2.40, 2 Cu 2.54
As1 0.0000 0.0000 0.5000 (multiplicity 2)  6 S 2.60-2.61
S1 0.0236 0.5000 0.2827 (multiplicity 4)  1 Cu 2.36, 2 As 2.60
S2 0.1919 0.0000 0.6705 (multiplicity 4)  3 Cu 2.31-2.40